[1]
A plane-wave DFT calculation with PBE-GGA was carried out for an optimized crystal structure of PuPdF.

Summary:
Its space-group type is No. 166. The total moment is 5.48 μB/f.u. The value obtained for the formation energy from raw total energies is -1.60 eV/atom.

Geometry as POSCAR:
```
PuPdF
1.0
-3.2702 1.6065 1.6257
-3.6127 -1.2877 -1.0990
-2.0894 -5.8091 6.4331
Pd F Pu
2 2 2
Cartesian
-2.1752 -3.3331 3.8138
-6.7971 -2.1573 3.1459
-4.4030 -5.1453 6.0189
-4.5692 -0.3450 0.9409
-2.2505 -1.1572 1.5121
-6.7217 -4.3331 5.4476
```


[2]
A plane-wave DFT calculation with PBE-GGA was carried out for an optimized crystal structure of PrSbIr.

Summary:
Its space-group type is No. 74. The total moment is 0.00 μB/f.u. The value obtained for the formation energy from raw total energies is -0.64 eV/atom.

Geometry as POSCAR:
```
PrSbIr
1.0
5.6352 -0.0014 -0.0011
2.8157 5.3387 0.0552
2.8157 1.2371 5.1937
Pr Ir Sb
2 2 2
Cartesian
4.6310 1.9919 2.3760
10.2644 5.2787 5.0004
8.8565 2.6095 4.9722
6.0389 2.6099 4.9730
7.4475 4.0087 3.2209
4.6300 5.3139 1.5871
```


[3]
A plane-wave DFT calculation with PBE-GGA was carried out for an optimized crystal structure of Cr2Fe.

Summary:
Its space-group type is No. 123. The total moment is 0.02 μB/f.u. The energy of formation from the pure elements is 821 meV per atom.

Geometry as POSCAR:
```
Cr2Fe
1.0
3.9577 0.0000 0.0000
0.0000 3.9577 0.0000
0.0000 0.0000 2.5242
Fe Cr
1 2
Cartesian
0.0000 0.0000 0.0000
1.9788 0.0000 1.2621
0.0000 1.9788 1.2621
```


[4]
A plane-wave DFT calculation with PBE-GGA was carried out for an optimized crystal structure of MgH4Pd6.

Summary:
Its space-group type is No. 1. The total moment is 0.00 μB/f.u. The calculation puts the total DFT energy (no corrections) at -48.7 eV/cell.

Geometry as POSCAR:
```
MgH4Pd6
1.0
5.5965 1.3977 2.9940
-0.6648 5.7579 2.8997
0.9042 1.3885 4.7376
Pd H Mg
6 4 1
Cartesian
1.9968 3.9118 4.4199
2.7245 5.9267 6.3588
4.1166 2.2259 5.3766
1.2834 1.8448 2.5038
5.6209 6.2913 9.2560
4.9173 4.2695 7.3143
3.3433 4.1927 5.6879
0.6595 3.4872 3.1644
3.0666 1.9403 3.8828
4.9939 7.9899 9.3217
-0.1727 5.6070 3.5551
```


[5]
A plane-wave DFT calculation with PBE-GGA was carried out for an optimized crystal structure of CrAu.

Summary:
Its space-group type is No. 44. The total moment is 0.18 μB/f.u. The energy of formation from the pure elements is 377 meV per atom.

Geometry as POSCAR:
```
CrAu
1.0
11.1671 0.0000 0.0000
0.0000 2.8398 0.0000
0.0000 0.0000 6.1100
Cr Au
6 6
Cartesian
10.0439 1.4199 3.8111
5.5835 1.4199 5.4516
4.4603 0.0000 0.7561
0.0000 0.0000 2.3966
6.7068 0.0000 0.7561
1.1232 1.4199 3.8111
0.0000 0.0000 5.8242
8.9890 1.4199 1.2495
2.1781 1.4199 1.2495
3.4054 0.0000 4.3045
5.5835 1.4199 2.7692
7.7617 0.0000 4.3045
```


[6]
A plane-wave DFT calculation with PBE-GGA was carried out for an optimized crystal structure of LiLaCl2.

Summary:
Its space-group type is No. 166. The total moment is 0.00 μB/f.u. The value obtained for the formation energy from raw total energies is -1.67 eV/atom. As for the polymorph energy (0 for the lowest one): 0 meV per atom.

Geometry as POSCAR:
```
LiLaCl2
1.0
7.6844 0.0018 0.0011
6.8120 3.5563 0.0011
6.8120 1.6720 3.1387
Cl Li La
2 1 1
Cartesian
10.2845 2.5243 1.5160
0.3697 0.0907 0.0545
15.9813 3.9225 2.3557
5.3271 1.3075 0.7852
```


[7]
A plane-wave DFT calculation with PBE-GGA was carried out for an optimized crystal structure of LiCaLaCo.

Summary:
Its space-group type is No. 216. The total moment is 0.00 μB/f.u. The energy of formation from the pure elements is 135 meV per atom.

Geometry as POSCAR:
```
LiCaLaCo
1.0
5.0584 0.0000 0.0000
2.5292 4.3807 0.0000
2.5292 1.4602 4.1301
Ca Li Co La
1 1 1 1
Cartesian
2.5292 1.4602 1.0325
0.0000 0.0000 0.0000
5.0584 2.9205 2.0651
7.5876 4.3807 3.0976
```


[8]
A plane-wave DFT calculation with PBE-GGA was carried out for an optimized crystal structure of Si2SbOs.

Summary:
Its space-group type is No. 44. The total moment is 0.00 μB/f.u. The value obtained for the formation energy from raw total energies is 0.53 eV/atom.

Geometry as POSCAR:
```
Si2SbOs
1.0
4.5349 -0.6583 -0.2747
0.4305 4.5621 0.2747
-2.0366 -2.5192 3.2526
Si Os Sb
2 1 1
Cartesian
4.7608 3.7430 0.0000
2.4030 -0.6816 1.4890
2.7630 2.1723 0.0000
0.4500 2.0066 1.7637
```


[9]
A plane-wave DFT calculation with PBE-GGA was carried out for an optimized crystal structure of BePdS.

Summary:
Its space-group type is No. 1. The total moment is 0.00 μB/f.u. The value obtained for the formation energy from raw total energies is -0.45 eV/atom.

Geometry as POSCAR:
```
BePdS
1.0
-3.3052 0.8338 0.4548
-1.1172 -4.1030 -8.0713
-2.2631 -2.3515 1.0857
Pd S Be
2 2 2
Cartesian
-1.1357 -0.3429 -0.1160
-4.6070 -3.1910 -3.3484
-1.3097 -3.6694 -6.1654
-4.6923 -2.6971 -1.0398
-5.1680 -4.8808 -5.7188
-1.0566 -1.8669 -2.6697
```


[10]
A plane-wave DFT calculation with PBE-GGA was carried out for an optimized crystal structure of YSiRu2O.

Summary:
Its space-group type is No. 123. The total moment is 3.09 μB/f.u. The value obtained for the formation energy from raw total energies is 1.08 eV/atom.

Geometry as POSCAR:
```
YSiRu2O
1.0
5.1021 0.0000 0.0000
0.0000 4.1025 0.0000
0.0000 0.0000 5.1021
Si O Ru Y
1 1 2 1
Cartesian
2.5510 2.0513 2.5510
0.0000 2.0513 0.0000
2.5510 0.0000 0.0000
0.0000 0.0000 2.5510
0.0000 0.0000 0.0000
```


[11]
A plane-wave DFT calculation with PBE-GGA was carried out for an optimized crystal structure of Mn3NiW.

Summary:
Its space-group type is No. 221. The total moment is 8.18 μB/f.u. The energy of formation from the pure elements is 1618 meV per atom. As for the polymorph energy (0 for the lowest one): 103 meV per atom.

Geometry as POSCAR:
```
Mn3NiW
1.0
4.5616 0.0000 0.0000
0.0000 4.5616 0.0000
0.0000 0.0000 4.5616
Mn W Ni
3 1 1
Cartesian
0.0000 2.2808 0.0000
2.2808 0.0000 0.0000
0.0000 0.0000 2.2808
0.0000 0.0000 0.0000
2.2808 2.2808 2.2808
```


[12]
A plane-wave DFT calculation with PBE-GGA was carried out for an optimized crystal structure of Ce6GeBi3.

Summary:
Its space-group type is No. 14. The total moment is 10.30 μB/f.u. The energy of formation from the pure elements is -469 meV per atom.

Geometry as POSCAR:
```
Ce6GeBi3
1.0
7.2870 0.0000 -0.0215
0.0000 8.6480 0.0000
0.0697 0.0000 10.6464
Ge Ce Bi
2 12 6
Cartesian
3.6784 4.3240 5.3124
0.0000 0.0000 0.0000
2.3367 4.8345 7.8533
5.0200 3.8136 2.7716
6.2041 5.7277 5.9345
2.7196 7.0318 4.6511
4.8309 1.4036 10.0029
1.1526 2.9204 4.6904
5.9453 8.1376 2.5193
6.3979 5.9403 9.9635
2.5258 7.2444 0.6220
0.9588 2.7077 0.6614
4.6371 1.6163 5.9738
1.4114 0.5104 8.1056
3.1509 1.1151 2.6923
0.5274 5.4391 2.6201
3.6435 4.3240 -0.0107
0.0349 0.0000 5.3232
4.2058 7.5330 7.9326
6.8293 3.2089 8.0048
```